Compound: Cs2KI6N
Source: the Alexandria database
Functional: GGA-PBE
Structure: relaxed

```
data_Cs2KI6N
_chemical_formula_sum 'Cs2 K1 I6 N1'
_symmetry_space_group_name_H-M 'P 1'
_symmetry_Int_Tables_number 1
_cell_length_a 8.4948
_cell_length_b 8.4948
_cell_length_c 8.4950
_cell_angle_alpha 60.00
_cell_angle_beta 60.00
_cell_angle_gamma 90.00
loop_
_symmetry_equiv_pos_as_xyz
'x,y,z'
loop_
_atom_site_label
_atom_site_type_symbol
_atom_site_fract_x
_atom_site_fract_y
_atom_site_fract_z
_atom_site_occupancy
K1 K 0.0000 0.0000 0.0000 1
I1 I 0.7169 0.7169 0.5661 1
I2 I 0.7169 0.2831 0.0000 1
I3 I 0.7169 0.7169 0.0000 1
I4 I 0.2831 0.7169 0.0000 1
I5 I 0.2831 0.2831 0.0000 1
I6 I 0.2831 0.2831 0.4339 1
Cs1 Cs 0.7500 0.2500 0.5000 1
Cs2 Cs 0.2500 0.7500 0.5000 1
N1 N 0.5000 0.5000 0.0000 1
```

Summary:
Energy relative to the elements, uncorrected (eV/atom): -0.39
Crystal system: cubic

---

Compound: CsKNaI
Source: the Alexandria database
Functional: GGA-PBE
Structure: relaxed

```
data_CsKNaI
_chemical_formula_sum 'Cs1 K1 Na1 I1'
_symmetry_space_group_name_H-M 'P 1'
_symmetry_Int_Tables_number 1
_cell_length_a 6.7380
_cell_length_b 6.7380
_cell_length_c 6.7380
_cell_angle_alpha 60.00
_cell_angle_beta 60.00
_cell_angle_gamma 60.00
loop_
_symmetry_equiv_pos_as_xyz
'x,y,z'
loop_
_atom_site_label
_atom_site_type_symbol
_atom_site_fract_x
_atom_site_fract_y
_atom_site_fract_z
_atom_site_occupancy
Na1 Na 0.0000 0.0000 0.0000 1
Cs1 Cs 0.2500 0.2500 0.2500 1
I1 I 0.5000 0.5000 0.5000 1
K1 K 0.7500 0.7500 0.7500 1
```

Summary:
Energy relative to the elements, uncorrected (eV/atom): -0.57
Crystal system: cubic

---

Compound: Cs2K3NaI6
Source: the Alexandria database
Functional: GGA-PBE
Structure: relaxed

```
data_Cs2K3NaI6
_chemical_formula_sum 'Cs2 K3 Na1 I6'
_symmetry_space_group_name_H-M 'P 1'
_symmetry_Int_Tables_number 1
_cell_length_a 9.0037
_cell_length_b 9.0037
_cell_length_c 8.9041
_cell_angle_alpha 99.75
_cell_angle_beta 99.75
_cell_angle_gamma 120.22
loop_
_symmetry_equiv_pos_as_xyz
'x,y,z'
loop_
_atom_site_label
_atom_site_type_symbol
_atom_site_fract_x
_atom_site_fract_y
_atom_site_fract_z
_atom_site_occupancy
K1 K 0.1716 0.8284 0.5000 1
K2 K 0.8284 0.1716 0.5000 1
K3 K 0.5000 0.5000 0.5000 1
I1 I 0.6057 0.9128 0.7398 1
I2 I 0.0872 0.3943 0.2602 1
I3 I 0.2114 0.2114 0.7502 1
I4 I 0.9128 0.6057 0.7398 1
I5 I 0.7886 0.7886 0.2498 1
I6 I 0.3943 0.0872 0.2602 1
Cs1 Cs 0.6665 0.3335 0.0000 1
Cs2 Cs 0.3335 0.6665 0.0000 1
Na1 Na 0.0000 0.0000 0.0000 1
```

Summary:
Energy relative to the elements, uncorrected (eV/atom): -1.44
Crystal system: monoclinic

---

Compound: CsK2Na3I6
Source: the Alexandria database
Functional: GGA-PBE
Structure: relaxed

```
data_CsK2Na3I6
_chemical_formula_sum 'Cs1 K2 Na3 I6'
_symmetry_space_group_name_H-M 'P 1'
_symmetry_Int_Tables_number 1
_cell_length_a 4.8765
_cell_length_b 9.9598
_cell_length_c 11.0666
_cell_angle_alpha 104.11
_cell_angle_beta 102.73
_cell_angle_gamma 90.00
loop_
_symmetry_equiv_pos_as_xyz
'x,y,z'
loop_
_atom_site_label
_atom_site_type_symbol
_atom_site_fract_x
_atom_site_fract_y
_atom_site_fract_z
_atom_site_occupancy
I1 I 0.3219 0.9262 0.6439 1
I2 I 0.6781 0.0738 0.3561 1
I3 I 0.6622 0.5943 0.3244 1
I4 I 0.9939 0.2814 0.9878 1
I5 I 0.0061 0.7186 0.0122 1
I6 I 0.3378 0.4057 0.6756 1
Na1 Na 0.8330 0.1733 0.6661 1
Na2 Na 0.5000 0.5000 0.0000 1
Na3 Na 0.1670 0.8267 0.3339 1
Cs1 Cs 0.5000 0.0000 0.0000 1
K1 K 0.8320 0.6645 0.6640 1
K2 K 0.1680 0.3355 0.3360 1
```

Summary:
Energy relative to the elements, uncorrected (eV/atom): -1.36
Crystal system: monoclinic

---

Record-wise spin magnetization values, in μB per formula unit: 0.0; 0.0; 0.0; 0.0